#P
GGA-PBE TaVSi3, relaxed; space group = No. 221
1.0
-0.620 -4.266 0.980
1.374 -1.130 -4.048
4.156 -0.263 1.484
V Ta Si
1 1 3
direct
0.000 0.000 0.000
0.500 0.500 0.500
0.000 0.500 0.000
0.500 0.000 0.000
0.000 0.000 0.500

#Q
GGA-PBE TaVSi3, relaxed; space group = No. 221
1.0
4.823 0.000 0.000
0.000 4.823 0.000
0.000 0.000 4.823
Si V Ta
3 1 1
direct
0.000 0.500 0.000
0.500 0.000 0.000
0.000 0.000 0.500
0.500 0.500 0.500
0.000 0.000 0.000

Structures ranked by computed energy, the most stable listed first: #P, #Q.

#P
GGA-PBE Ta2V3Si, relaxed; space group = No. 12
1.0
-1.573 2.845 -3.718
-3.256 -1.890 3.196
2.546 2.140 3.838
Ta V Si
2 3 1
direct
0.251 0.625 0.876
0.749 0.375 0.124
0.500 0.500 0.500
0.500 0.000 0.500
0.000 0.000 0.500
0.000 0.000 0.000

#Q
GGA-PBE Ta2V3Si, relaxed; space group = No. 194
1.0
4.945 0.000 0.000
-2.473 4.283 0.000
0.000 0.000 8.374
V Ta Si
6 4 2
direct
0.829 0.659 0.750
0.341 0.171 0.750
0.659 0.829 0.250
0.171 0.341 0.250
0.171 0.829 0.250
0.829 0.171 0.750
0.667 0.333 0.062
0.667 0.333 0.438
0.333 0.667 0.938
0.333 0.667 0.562
0.000 0.000 0.500
0.000 0.000 0.000

Structures ranked by computed energy, the most stable listed first: #Q, #P.

#P
GGA-PBE TaSi2W, relaxed; space group = No. 35
1.0
-0.698 -2.619 -0.517
2.483 0.283 -1.170
3.742 -2.448 7.346
Ta W Si
1 1 2
direct
0.000 0.000 0.492
0.500 0.500 0.761
0.000 0.000 0.990
0.500 0.500 0.257

#Q
GGA-PBE TaSi2W, relaxed; space group = No. 12
1.0
5.609 0.000 -0.001
-2.492 4.086 0.010
0.624 0.971 2.654
Si W Ta
2 1 1
direct
0.000 0.000 0.000
0.500 0.000 0.500
0.500 0.500 0.000
0.000 0.500 0.500

#R
GGA-PBE TaSi2W, relaxed; space group = No. 38
1.0
-2.607 0.512 3.173
1.603 -2.178 1.669
3.485 2.178 2.512
Si Ta W
2 1 1
direct
0.000 0.208 0.960
0.500 0.045 0.285
0.000 0.483 0.409
0.500 0.764 0.846

#S
GGA-PBE TaSi2W, relaxed; space group = No. 8
1.0
-0.106 -2.741 3.974
0.002 -4.571 1.556
4.314 -0.861 0.844
Ta Si W
1 2 1
direct
0.514 0.514 0.445
0.260 0.260 0.285
0.992 0.992 0.961
0.734 0.734 0.809

Structures ranked by computed energy, the most stable listed first: #R, #S, #Q, #P.

#P
GGA-PBE TaSi4W, relaxed; space group = No. 12
1.0
-3.224 0.428 -0.161
1.188 -1.925 4.032
0.847 6.464 0.211
Ta W Si
1 1 4
direct
0.500 0.500 0.500
0.500 0.500 0.000
0.166 0.833 0.329
0.834 0.168 0.163
0.166 0.832 0.837
0.834 0.167 0.671

#Q
GGA-PBE TaSi4W, relaxed; space group = No. 216
1.0
-3.278 1.775 3.135
-3.138 3.435 -1.442
-4.719 -1.083 -0.537
Si Ta W
4 1 1
direct
0.625 0.125 0.625
0.625 0.625 0.625
0.125 0.625 0.625
0.625 0.625 0.125
0.250 0.250 0.250
0.000 0.000 0.000

Structures ranked by computed energy, the most stable listed first: #P, #Q.